Computed, not measured: a relaxed Ca3PdAu2 crystal at the GGA-PBE level of DFT.

abc: 3.6287 3.6287 10.6746
angles: 90.00 90.00 90.00
Fractional coordinates of all 6 atoms:
Ca1 0.0000 0.0000 0.0000
Ca2 0.0000 0.0000 0.3392
Ca3 0.0000 0.0000 0.6608
Pd1 0.5000 0.5000 0.5000
Au1 0.5000 0.5000 0.1709
Au2 0.5000 0.5000 0.8291

Values from the calculation:
* formation enthalpy at 0 K: -4.543 eV/f.u.
* DOS at the Fermi energy: 0.33 states/eV per atom
* energy above the most stable polymorph in this dataset: 0 meV/atom